Entry from Alexandria via LeMat-Bulk: a relaxed structure of ZrAsP (PBEsol).

Calculated values
* energy above the most stable polymorph in this dataset: 41 meV/atom
* energy: -20.96 eV per formula unit
* calculated density: 5.24 g/cm³
* space-group type: F-43m (216)

Cell: 4.452 4.452 4.452 Å, 60.00 60.00 60.00°
Sites, in units of the cell vectors:
As1 0.000 0.000 0.000
Zr1 0.250 0.250 0.250
P1 0.500 0.500 0.500